Here is ZrCoTc2 after structural relaxation from Alexandria via LeMat-Bulk. Energies are from PBE.

Values from the calculation:
ΔE_f (eV/atom): 0.117
Raw total energy (eV/atom): -8.980
Total moment (μB per atom): 0.47
Offset from the most stable computed form (eV per atom): 0.142

```
ZrCoTc2
1.0
-4.406 -0.483 0.906
0.632 -0.661 2.721
-0.135 4.482 1.735
Tc Co Zr
2 1 1
Direct
0.000 0.953 0.992
0.000 0.547 0.508
0.500 0.750 0.750
0.500 0.250 0.250
```